No. 1
Crystalline Pu2UV at its relaxed geometry. Source: Alexandria via LeMat-Bulk, functional PBE-GGA.

Lattice parameters (Å, degrees): 3.5469 3.5469 22.9416 90.00 90.00 120.00
With the nearest neighbours (Å) after each atom.
Space group R-3m (No. 166, hexagonal axes)
Asymmetric unit:
Pu 0.0000 0.0000 0.0999 [6 per cell]  1 V 2.29, 3 U 2.56
U 0.0000 0.0000 0.5000 [3 per cell]  6 Pu 2.56
V 0.0000 0.0000 0.0000 [3 per cell]  2 Pu 2.29

Computed properties:
Relative energy among the computed polymorphs ... 657.6 meV/atom

---

No. 2
Crystalline BeCu2Si at its relaxed geometry. Source: Alexandria via LeMat-Bulk, functional PBE-GGA.

Lattice parameters (Å, degrees): 3.8163 3.8163 11.5956 90.00 90.00 120.00
With the nearest neighbours (Å) after each atom.
Space group R3m (No. 160, hexagonal axes)
Asymmetric unit:
Be 0.0000 0.0000 0.0000 [3 per cell]  6 Cu 2.27-2.38, 1 Si 2.35
Cu 0.0000 0.0000 0.3796 [3 per cell]  3 Be 2.27, 3 Si 2.41, 1 Cu 2.44
Cu 0.0000 0.0000 0.5897 [3 per cell]  3 Be 2.38, 4 Si 2.41-2.64, 4 Cu 2.44-2.63
Si 0.0000 0.0000 0.7977 [3 per cell]  1 Be 2.35, 4 Cu 2.41

Computed properties:
Formation energy from raw total energies ... 0.05 eV per atom

---

No. 3
Crystalline CaAl9Co2 at its relaxed geometry. Source: Alexandria via LeMat-Bulk, functional PBE-GGA.

Lattice parameters (Å, degrees): 7.8788 7.8788 3.8641 90.00 90.00 120.00
With the nearest neighbours (Å) after each atom.
Space group P6/mmm (No. 191)
Asymmetric unit:
Ca 0.0000 0.0000 0.0000 [1 per cell]  12 Al 3.48, 2 Ca 3.86
Al 0.0000 0.5000 0.0000 [3 per cell]  2 Co 2.27
Al 0.2122 0.4244 0.5000 [6 per cell]  2 Co 2.54, 4 Al 2.81
Co 0.3333 0.6667 0.0000 [2 per cell]  9 Al 2.27-2.54

Computed properties:
Relative energy among the computed polymorphs ... 0.0 meV/atom

---

No. 4
Crystalline Sb2TePb at its relaxed geometry. Source: Alexandria via LeMat-Bulk, functional PBE-GGA.

Lattice parameters (Å, degrees): 3.2232 6.2926 6.2417 90.00 90.73 90.00
With the nearest neighbours (Å) after each atom.
Space group Pm (No. 6)
Asymmetric unit:
Sb 0.0000 0.0000 0.0000 [1 per cell]  2 Te 3.11-3.13, 4 Sb 3.15-3.22
Sb 0.0182 0.5000 0.0025 [1 per cell]  4 Sb 3.15-3.22, 2 Pb 3.24-3.25
Te 0.9742 0.0000 0.5019 [1 per cell]  2 Sb 3.11-3.13, 2 Te 3.22, 2 Pb 3.23
Pb 0.7449 0.5000 0.5012 [1 per cell]  2 Pb 3.22, 2 Te 3.23, 2 Sb 3.24-3.25

Computed properties:
Relative energy among the computed polymorphs ... 138.7 meV/atom
Formation energy from raw total energies ... 0.00 eV per atom